[1]
The following is a PBE calculation of a relaxed structure of Cs2YAs, from Alexandria.

Cell: 14.0502 14.0502 5.4958 Å, 90.00 90.00 90.00°
Space group I-42d (No. 122)
Unique sites:
Cs 0.0870 0.2500 0.1250 x8
Y 0.0000 0.0000 0.5000 x4
As 0.0000 0.0000 0.0000 x4

---

[2]
The following is a PBE calculation of a relaxed structure of CsY2As2, from Alexandria.

Cell: 5.0425 5.0425 15.0897 Å, 90.00 90.00 90.00°
Space group I4/mmm (No. 139)
Unique sites:
Cs 0.0000 0.0000 0.0000 x2
Y 0.0000 0.5000 0.2500 x4
As 0.0000 0.0000 0.3390 x4

Results
energy relative to the lowest polymorph listed for this composition = 0.00 eV/f.u.

---

[3]
The following is a PBE calculation of a relaxed structure of CsYZrAs2, from Alexandria.

Cell: 5.2977 5.2977 5.6192 Å, 90.00 90.00 90.00°
Space group P4/mmm (No. 123)
Unique sites:
Cs 0.0000 0.0000 0.0000 x1
Y 0.5000 0.5000 0.0000 x1
Zr 0.0000 0.0000 0.5000 x1
As 0.0000 0.5000 0.5000 x2

---

[4]
The following is a PBE calculation of a relaxed structure of CsZnAs, from Alexandria.

Cell: 3.7867 3.7867 12.9901 Å, 90.00 90.00 90.00°
Space group I4mm (No. 107)
Unique sites:
Cs 0.0000 0.0000 0.0000 x2
Zn 0.0000 0.0000 0.2530 x2
As 0.0000 0.0000 0.7267 x2

---

[5]
The following is a PBE calculation of a relaxed structure of Cs3ZnAs2, from Alexandria.

Cell: 8.1652 14.7456 9.9898 Å, 90.00 90.00 90.00°
Space group Ibam (No. 72)
Unique sites:
Cs 0.0000 0.0000 0.2500 x4
Cs 0.0000 0.2816 0.2500 x8
Zn 0.0000 0.5000 0.0000 x4
As 0.2224 0.3990 0.0000 x8

Results
energy relative to the lowest polymorph listed for this composition = 0.26 eV/f.u.

---

[6]
The following is a PBE calculation of a relaxed structure of CsZnAs, from Alexandria.

Cell: 4.3912 6.2168 7.3642 Å, 98.75 101.17 104.22°
Space group P-1 (No. 2)
Unique sites:
Cs 0.2257 0.2106 0.3564 x2
Zn 0.4681 0.7977 0.0386 x2
As 0.0609 0.3912 0.8540 x2

---

[7]
The following is a PBE calculation of a relaxed structure of Cs3Zn4As4, from Alexandria.

Cell: 8.4769 8.4769 8.4769 Å, 90.00 90.00 90.00°
Space group I-43m (No. 217)
Unique sites:
Cs 0.0000 0.0000 0.5000 x6
Zn 0.1434 0.1434 0.8566 x8
As 0.1655 0.1655 0.1655 x8

---

[8]
The following is a PBE calculation of a relaxed structure of Cs5Zn4As4, from Alexandria.

Cell: 14.0018 14.0018 4.4050 Å, 90.00 90.00 90.00°
Space group I4/m (No. 87)
Unique sites:
Cs 0.0000 0.0000 0.0000 x2
Cs 0.1381 0.7918 0.5000 x8
Zn 0.0767 0.3961 0.5000 x8
As 0.0376 0.3105 0.0000 x8

---

E_form, record by record: -149; -924; 418; -72; -249; -248; -290; -305 meV per atom
Magnetic moment, record by record: 0.00; 0.00; 0.00; 0.00; 1.05; 0.00; 0.00; 0.00 μB/f.u.